Density functional theory data (GGA-PBE) for an optimized crystal structure of CaZrPtC2.

```
CaZrPtC2
1.0
4.2754 0.0000 0.0000
0.0000 4.9991 0.0000
0.0000 0.0000 4.2754
C Zr Ca Pt
2 1 1 1
Direct
0.0000 0.0000 0.5000 C
0.5000 0.0000 0.0000 C
0.5000 0.5000 0.5000 Zr
0.0000 0.0000 0.0000 Ca
0.0000 0.5000 0.0000 Pt
```

raw total energy	-4.969	eV per atom
ΔE_f	2039	meV per atom


Density functional theory data (GGA-PBE) for an optimized crystal structure of Pr7Cd2In2.

```
Pr7Cd2In2
1.0
-4.5308 -4.3105 -2.9991
0.9576 -5.4369 6.3725
-3.2495 4.4104 4.2536
Pr Cd In
7 2 2
Direct
0.4998 0.2570 0.5002 Pr
0.0002 0.7085 0.4997 Pr
0.4997 0.2915 0.0002 Pr
0.5002 0.7430 0.4998 Pr
0.9998 0.2915 0.5003 Pr
0.5003 0.7085 0.9998 Pr
0.0000 0.0000 0.0000 Pr
0.7119 0.0000 0.2881 Cd
0.2881 0.0000 0.7119 Cd
0.1793 0.5000 0.1793 In
0.8207 0.5000 0.8207 In
```

raw total energy	-3.736	eV per atom
ΔE_f	-30	meV per atom


Density functional theory data (GGA-PBE) for an optimized crystal structure of Rb2TlS3.

```
Rb2TlS3
1.0
6.8408 0.0000 0.0000
0.0000 8.3183 0.9335
0.0000 -3.2614 7.7090
Rb S Tl
4 6 2
Direct
0.4965 0.4898 0.8143 Rb
0.4965 0.8143 0.4898 Rb
0.9965 0.1857 0.5102 Rb
0.9965 0.5102 0.1857 Rb
0.4888 0.4435 0.1998 S
0.9888 0.5565 0.8002 S
0.9888 0.8002 0.5565 S
0.4888 0.1998 0.4435 S
0.9334 0.1038 0.1038 S
0.4334 0.8962 0.8962 S
0.5540 0.1306 0.1306 Tl
0.0540 0.8694 0.8694 Tl
```

raw total energy	-3.311	eV per atom
raw formation energy	-3.18	eV per formula unit


Density functional theory data (GGA-PBE) for an optimized crystal structure of PaInC.

```
PaInC
1.0
-3.7769 0.8276 -1.1904
0.7444 -1.7433 -3.5739
-2.5041 -7.1270 2.9661
In Pa C
2 2 2
Direct
0.7502 0.2497 0.0927 In
0.2498 0.7503 0.9073 In
0.2502 0.7497 0.3657 Pa
0.7498 0.2503 0.6343 Pa
0.2500 0.2500 0.5000 C
0.7500 0.7500 0.5000 C
```

raw total energy	-7.327	eV per atom
ΔE_f	-175	meV per atom
polymorph energy (0 for the lowest one)	0.0	meV per atom


Density functional theory data (GGA-PBE) for an optimized crystal structure of UOs2W.

```
UOs2W
1.0
-2.0965 -1.9513 -0.8652
2.0008 -1.3740 -1.7494
1.8710 -4.5398 5.7053
Os W U
2 1 1
Direct
0.0000 0.0000 0.2239 Os
0.0000 0.0000 0.7761 Os
0.5000 0.5000 0.0000 W
0.5000 0.5000 0.5000 U
```

raw total energy	-11.679	eV per atom
ΔE_f	-4	meV per atom
polymorph energy (0 for the lowest one)	0.0	meV per atom


Density functional theory data (GGA-PBE) for an optimized crystal structure of Ge2Bi2Pt.

```
Ge2Bi2Pt
1.0
-4.3958 3.1247 3.6621
-2.2711 -5.7186 2.1533
3.5944 0.1492 4.1872
Ge Bi Pt
4 4 2
Direct
0.6392 0.1392 0.0000 Ge
0.3608 0.8608 0.0000 Ge
0.1392 0.3608 0.0000 Ge
0.8608 0.6392 0.0000 Ge
0.3129 0.1871 0.5000 Bi
0.1871 0.6871 0.5000 Bi
0.6871 0.8129 0.5000 Bi
0.8129 0.3129 0.5000 Bi
0.5000 0.5000 0.0000 Pt
0.0000 0.0000 0.0000 Pt
```

raw total energy	-4.585	eV per atom
ΔE_f	22	meV per atom


Density functional theory data (GGA-PBE) for an optimized crystal structure of Nd3PuF.

```
Nd3PuF
1.0
5.1408 0.0000 0.0000
0.0000 5.1408 0.0000
0.0000 0.0000 5.1408
Pu Nd F
1 3 1
Direct
0.5000 0.5000 0.5000 Pu
0.0000 0.0000 0.5000 Nd
0.5000 0.0000 0.0000 Nd
0.0000 0.5000 0.0000 Nd
0.0000 0.0000 0.0000 F
```

raw total energy	-6.951	eV per atom
raw formation energy	-4.25	eV per formula unit


Density functional theory data (GGA-PBE) for an optimized crystal structure of Ba2Sc2Ge2O.

```
Ba2Sc2Ge2O
1.0
4.4733 0.0000 0.0000
0.0000 4.4733 0.0000
-2.2367 -2.2367 8.8992
Sc O Ba Ge
2 1 2 2
Direct
0.5000 0.0000 0.0000 Sc
0.0000 0.5000 0.0000 Sc
0.0000 0.0000 0.0000 O
0.8326 0.8326 0.6651 Ba
0.1674 0.1674 0.3349 Ba
0.3930 0.3930 0.7860 Ge
0.6070 0.6070 0.2140 Ge
```

raw total energy	-5.761	eV per atom
raw formation energy	-9.63	eV per formula unit


Per-record M_tot, μB/cell: 0.00; 0.00; 2.23; 0.00; 0.23; 0.00; 6.34; 0.00